[1]
# SrTl2Rh

Crystalline SrTl2Rh at its relaxed geometry (GGA-PBE, Alexandria).

abc: 3.7089 4.7018 6.2390
angles: 90.00 105.46 90.00
With the nearest neighbours (Å) after each atom.
Fractional coordinates of all 4 atoms:
Sr  0.0000  0.0000  0.0000  2 Rh 3.18, 8 Tl 3.41-3.51
Tl  0.3475  0.5000  0.7125  2 Rh 2.83, 2 Tl 3.15-3.17
Tl  0.6525  0.5000  0.2875  2 Rh 2.83, 2 Tl 3.15-3.17
Rh  0.5000  0.0000  0.5000  4 Tl 2.83

Calculated values
For the mass density, the calculation gives 9.5 g/cm³. Its formation enthalpy at 0 K is -0.3 eV per formula unit. As for the total DFT energy (no corrections): -0.259 Ry per atom.


[2]
# Sr2Tl2Rh

Crystalline Sr2Tl2Rh at its relaxed geometry (GGA-PBE, Alexandria).

abc: 6.4368 6.4368 12.3826
angles: 112.14 112.14 39.46
With the nearest neighbours (Å) after each atom.
Fractional coordinates of all 10 atoms:
Sr  0.0003  0.0003  0.1613  2 Rh 3.21, 4 Tl 3.43-3.46
Sr  0.9997  0.9997  0.8387  2 Rh 3.21, 4 Tl 3.43-3.46
Sr  0.1944  0.1944  0.6309  2 Rh 3.23, 6 Tl 3.42-3.61
Sr  0.8056  0.8056  0.3691  2 Rh 3.23, 6 Tl 3.42-3.61
Tl  0.3248  0.3248  0.9431  3 Rh 2.79-2.98
Tl  0.4700  0.4700  0.6140  1 Rh 2.84
Tl  0.5300  0.5300  0.3860  1 Rh 2.84
Tl  0.6752  0.6752  0.0569  3 Rh 2.79-2.98
Rh  0.3129  0.3129  0.1792  4 Tl 2.79-2.98
Rh  0.6871  0.6871  0.8208  4 Tl 2.79-2.98

Calculated values
For the mass density, the calculation gives 7.6 g/cm³. Its formation enthalpy at 0 K is -1.8 eV per formula unit. As for the total DFT energy (no corrections): -0.253 Ry per atom.


[3]
# Sr3TlRh

Crystalline Sr3TlRh at its relaxed geometry (GGA-PBE, Alexandria).

abc: 10.2731 9.4653 6.3826
angles: 78.16 64.39 37.45
With the nearest neighbours (Å) after each atom.
Fractional coordinates of all 10 atoms:
Sr  0.1962  0.5792  0.4208  2 Rh 3.06
Sr  0.1998  0.1998  0.8002  4 Rh 3.31, 2 Sr 3.63
Sr  0.4208  0.8038  0.1962  2 Rh 3.06
Sr  0.5792  0.1962  0.8038  2 Rh 3.06
Sr  0.8002  0.8002  0.1998  4 Rh 3.31, 2 Sr 3.63
Sr  0.8038  0.4208  0.5792  2 Rh 3.06
Tl  0.2110  0.7890  0.7890  1 Tl 2.97
Tl  0.7890  0.2110  0.2110  1 Tl 2.97
Rh  0.2500  0.2500  0.2500  8 Sr 3.06-3.31
Rh  0.7500  0.7500  0.7500  8 Sr 3.06-3.31

Calculated values
For the mass density, the calculation gives 5.7 g/cm³. Its formation enthalpy at 0 K is -1.3 eV per formula unit. As for the total DFT energy (no corrections): -0.237 Ry per atom.


[4]
# SrTl2Rh2

Crystalline SrTl2Rh2 at its relaxed geometry (GGA-PBE, Alexandria).

abc: 11.6759 11.6759 11.6759
angles: 157.03 157.03 32.71
With the nearest neighbours (Å) after each atom.
Fractional coordinates of all 10 atoms:
Sr  0.1394  0.1394  0.0000  8 Rh 3.40-3.69, 4 Tl 3.44
Sr  0.8606  0.8606  0.0000  8 Rh 3.40-3.69, 4 Tl 3.44
Tl  0.0000  0.5000  0.5000  4 Rh 2.74
Tl  0.3151  0.3151  0.0000  5 Rh 2.69-2.74
Tl  0.5000  0.0000  0.5000  4 Rh 2.74
Tl  0.6849  0.6849  0.0000  5 Rh 2.69-2.74
Rh  0.2500  0.7500  0.5000  4 Tl 2.74
Rh  0.4350  0.4350  0.0000  5 Tl 2.69-2.74, 1 Rh 2.91
Rh  0.5650  0.5650  0.0000  5 Tl 2.69-2.74, 1 Rh 2.91
Rh  0.7500  0.2500  0.5000  4 Tl 2.74

Calculated values
For the mass density, the calculation gives 9.6 g/cm³. Its formation enthalpy at 0 K is -0.9 eV per formula unit. As for the total DFT energy (no corrections): -0.323 Ry per atom.


[5]
# Sr3Tl5Rh6

Crystalline Sr3Tl5Rh6 at its relaxed geometry (GGA-PBE, Alexandria).

abc: 8.7629 8.7629 8.7629
angles: 149.20 108.15 80.18
With the nearest neighbours (Å) after each atom.
Fractional coordinates of all 14 atoms:
Sr  0.0000  0.0000  0.0000  4 Rh 3.13
Sr  0.3226  0.3226  0.0000  6 Rh 3.24-3.44, 8 Tl 3.33-3.50
Sr  0.6774  0.6774  0.0000  6 Rh 3.24-3.44, 8 Tl 3.33-3.50
Tl  0.0241  0.6838  0.3404  4 Rh 2.78-2.92
Tl  0.3434  0.6838  0.6596  4 Rh 2.78-2.92
Tl  0.5000  0.0000  0.5000  4 Rh 2.73
Tl  0.6566  0.3162  0.3404  4 Rh 2.78-2.92
Tl  0.9759  0.3162  0.6596  4 Rh 2.78-2.92
Rh  0.1681  0.8955  0.2726  3 Rh 2.72-2.80, 4 Tl 2.73-2.92
Rh  0.2856  0.5000  0.7856  4 Rh 2.72, 2 Tl 2.78
Rh  0.3771  0.1045  0.2726  3 Rh 2.72-2.80, 4 Tl 2.73-2.92
Rh  0.6229  0.8955  0.7274  3 Rh 2.72-2.80, 4 Tl 2.73-2.92
Rh  0.7144  0.5000  0.2144  4 Rh 2.72, 2 Tl 2.78
Rh  0.8319  0.1045  0.7274  3 Rh 2.72-2.80, 4 Tl 2.73-2.92

Calculated values
For the mass density, the calculation gives 9.8 g/cm³. Its formation enthalpy at 0 K is -3.3 eV per formula unit. As for the total DFT energy (no corrections): -0.338 Ry per atom.


[6]
# Sr3Tl2Rh2

Crystalline Sr3Tl2Rh2 at its relaxed geometry (GGA-PBE, Alexandria).

abc: 6.1816 8.5345 14.9572
angles: 90.00 90.00 90.00
With the nearest neighbours (Å) after each atom.
Fractional coordinates of all 28 atoms:
Sr  0.1215  0.2419  0.2500  3 Tl 3.28-3.43, 4 Rh 3.33-3.44
Sr  0.1215  0.2581  0.7500  3 Tl 3.28-3.43, 4 Rh 3.33-3.44
Sr  0.3462  0.5987  0.0921  4 Rh 3.09-3.38, 2 Tl 3.43-3.46
Sr  0.3462  0.5987  0.4079  4 Rh 3.09-3.38, 2 Tl 3.43-3.46
Sr  0.3462  0.9013  0.5921  4 Rh 3.09-3.38, 2 Tl 3.43-3.46
Sr  0.3462  0.9013  0.9079  4 Rh 3.09-3.38, 2 Tl 3.43-3.46
Sr  0.6538  0.0987  0.0921  4 Rh 3.09-3.38, 2 Tl 3.43-3.46
Sr  0.6538  0.0987  0.4079  4 Rh 3.09-3.38, 2 Tl 3.43-3.46
Sr  0.6538  0.4013  0.5921  4 Rh 3.09-3.38, 2 Tl 3.43-3.46
Sr  0.6538  0.4013  0.9079  4 Rh 3.09-3.38, 2 Tl 3.43-3.46
Sr  0.8785  0.7419  0.2500  3 Tl 3.28-3.43, 4 Rh 3.33-3.44
Sr  0.8785  0.7581  0.7500  3 Tl 3.28-3.43, 4 Rh 3.33-3.44
Tl  0.1284  0.2500  0.0000  4 Rh 2.80-2.85
Tl  0.1284  0.2500  0.5000  4 Rh 2.80-2.85
Tl  0.3649  0.6047  0.7500  2 Rh 2.79
Tl  0.3649  0.8953  0.2500  2 Rh 2.79
Tl  0.6351  0.1047  0.7500  2 Rh 2.79
Tl  0.6351  0.3953  0.2500  2 Rh 2.79
Tl  0.8716  0.7500  0.0000  4 Rh 2.80-2.85
Tl  0.8716  0.7500  0.5000  4 Rh 2.80-2.85
Rh  0.1421  0.5344  0.5932  3 Tl 2.79-2.85, 1 Sr 3.09
Rh  0.1421  0.5344  0.9068  3 Tl 2.79-2.85, 1 Sr 3.09
Rh  0.1421  0.9656  0.0932  3 Tl 2.79-2.85, 1 Sr 3.09
Rh  0.1421  0.9656  0.4068  3 Tl 2.79-2.85, 1 Sr 3.09
Rh  0.8579  0.0344  0.5932  3 Tl 2.79-2.85, 1 Sr 3.09
Rh  0.8579  0.0344  0.9068  3 Tl 2.79-2.85, 1 Sr 3.09
Rh  0.8579  0.4656  0.0932  3 Tl 2.79-2.85, 1 Sr 3.09
Rh  0.8579  0.4656  0.4068  3 Tl 2.79-2.85, 1 Sr 3.09

Calculated values
For the mass density, the calculation gives 7.4 g/cm³. Its formation enthalpy at 0 K is -2.5 eV per formula unit. As for the total DFT energy (no corrections): -0.283 Ry per atom.


[7]
# SrTl4Rh

Crystalline SrTl4Rh at its relaxed geometry (GGA-PBE, Alexandria).

abc: 6.2090 6.2090 6.2090
angles: 60.00 60.00 60.00
With the nearest neighbours (Å) after each atom.
Fractional coordinates of all 6 atoms:
Sr  0.0000  0.0000  0.0000  12 Tl 3.64, 4 Rh 3.80
Tl  0.1282  0.6239  0.6239  6 Tl 3.08-3.13
Tl  0.6239  0.1282  0.6239  6 Tl 3.08-3.13
Tl  0.6239  0.6239  0.1282  6 Tl 3.08-3.13
Tl  0.6239  0.6239  0.6239  6 Tl 3.08-3.13
Rh  0.2500  0.2500  0.2500  12 Tl 3.64, 4 Sr 3.80

Calculated values
For the mass density, the calculation gives 9.9 g/cm³. Its formation enthalpy at 0 K is 1.5 eV per formula unit. As for the total DFT energy (no corrections): -0.209 Ry per atom.


[8]
# SrTl3Rh

Crystalline SrTl3Rh at its relaxed geometry (GGA-PBE, Alexandria).

abc: 5.3102 5.3102 5.3102
angles: 90.00 90.00 90.00
With the nearest neighbours (Å) after each atom.
Fractional coordinates of all 5 atoms:
Sr  0.0000  0.0000  0.0000  12 Tl 3.75
Tl  0.0000  0.5000  0.5000  2 Rh 2.66
Tl  0.5000  0.0000  0.5000  2 Rh 2.66
Tl  0.5000  0.5000  0.0000  2 Rh 2.66
Rh  0.5000  0.5000  0.5000  6 Tl 2.66

Calculated values
For the mass density, the calculation gives 8.9 g/cm³. Its formation enthalpy at 0 K is -0.5 eV per formula unit. As for the total DFT energy (no corrections): -0.245 Ry per atom.